Entry 1:
Here is crystalline Sr2ScIn at its relaxed geometry from Alexandria. Energies are from PBE. Values from VASP.

D(E_F) = 5.650 states/eV/cell
DFT formation energy = -0.0735 eV/atom

```
&SYSTEM
  ibrav = 0, nat = 4, ntyp = 3
/
ATOMIC_SPECIES
Sr 87.62 Sr.upf
Sc 44.96 Sc.upf
In 114.82 In.upf
ATOMIC_POSITIONS crystal
Sr 0.000 0.000 0.000
Sr 0.707 0.207 0.500
Sc 0.420 0.420 0.000
In 0.238 0.738 0.500
CELL_PARAMETERS angstrom
-1.970 2.938 6.144
1.970 -2.938 6.144
1.970 2.938 -6.144
```



Entry 2:
Here is crystalline Sr3ScIn at its relaxed geometry from Alexandria. Energies are from PBE. Values from VASP.

D(E_F) = 7.115 states/eV/cell
DFT formation energy = 0.3747 eV/atom

```
&SYSTEM
  ibrav = 0, nat = 5, ntyp = 3
/
ATOMIC_SPECIES
Sr 87.62 Sr.upf
Sc 44.96 Sc.upf
In 114.82 In.upf
ATOMIC_POSITIONS crystal
Sr 0.000 0.000 0.500
Sr 0.000 0.500 0.000
Sr 0.500 0.000 0.000
Sc 0.500 0.500 0.500
In 0.000 0.000 0.000
CELL_PARAMETERS angstrom
6.316 0.000 0.000
0.000 6.316 0.000
0.000 0.000 6.316
```